A plane-wave DFT calculation with meta-GGA SCAN was carried out for a crystal of ZnSi2Cl relaxed with PBEsol.

Results
SG: Imm2, No. 44
ΔE_f (raw), eV/f.u.: 1.46
Uncorrected energy, eV per formula unit: -40.07

a b c (Å): 2.8326 4.4488 5.9781
angles (deg): 111.84 103.70 90.00
Last column: nearest neighbours and their distance in Å.
Fractional coordinates of all 4 atoms:
Zn 0.4646 0.4646 0.9293  6 Si 2.76-2.80, 2 Zn 2.83
Si 0.7398 0.2398 0.4797  4 Si 2.57-2.83, 4 Cl 2.64, 2 Zn 2.80
Si 0.0403 0.0403 0.0805  4 Si 2.57-2.83, 4 Zn 2.76
Cl 0.2552 0.7552 0.5105  4 Si 2.64, 2 Cl 2.83